# NdDy9Sc2 PBE relaxed
data_NdDy9Sc2
_chemical_formula_sum 'Nd1 Dy9 Sc2'
_symmetry_space_group_name_H-M 'P 1'
_symmetry_Int_Tables_number 1
_cell_length_a 4.967
_cell_length_b 4.967
_cell_length_c 14.866
_cell_angle_alpha 90.00
_cell_angle_beta 90.00
_cell_angle_gamma 90.00
loop_
_symmetry_equiv_pos_as_xyz
'x,y,z'
loop_
_atom_site_label
_atom_site_type_symbol
_atom_site_fract_x
_atom_site_fract_y
_atom_site_fract_z
Nd1 Nd 0.000 0.000 0.000
Dy1 Dy 0.500 0.500 0.000
Dy2 Dy 0.500 0.500 0.338
Dy3 Dy 0.500 0.500 0.662
Dy4 Dy 0.500 0.000 0.173
Dy5 Dy 0.500 0.000 0.500
Dy6 Dy 0.500 0.000 0.827
Dy7 Dy 0.000 0.500 0.173
Dy8 Dy 0.000 0.500 0.500
Dy9 Dy 0.000 0.500 0.827
Sc1 Sc 0.000 0.000 0.336
Sc2 Sc 0.000 0.000 0.664
# ΔE_f: 0.0382 eV/atom
# total magnetization: 0.0 μB/f.u.
# offset from the most stable computed form: 5 meV per atom